Entry from Alexandria: an optimized crystal structure of In2CoBr (PBE).

Cell lengths 9.813, 3.305, 6.194 Å; angles 90.00, 112.41, 90.00 degrees
Space group Cm (No. 8)
Unique sites:
In1 0.000 0.000 0.000 (multiplicity 2)
In2 0.183 0.000 0.666 (multiplicity 2)
Co1 0.229 0.500 0.024 (multiplicity 2)
Br1 0.354 0.000 0.351 (multiplicity 2)

The value obtained for the polymorph energy (0 for the lowest one) is 107 meV per atom. The raw total energy is -27.6 eV/cell. As for the energy relative to the elements, uncorrected: 0.113 eV per atom.